{"formula": "Rb2Na2Au", "functional": "PBE", "state": "optimized geometry", "cell": [[8.962, 0.000, 0.000], [0.000, 8.962, 0.000], [0.000, 0.000, 6.775]], "species": ["Rb", "Rb", "Rb", "Rb", "Na", "Na", "Na", "Na", "Au", "Au"], "frac_coords": [[0.168, 0.332, 0.000], [0.332, 0.832, 0.000], [0.668, 0.168, 0.000], [0.832, 0.668, 0.000], [0.149, 0.649, 0.500], [0.351, 0.149, 0.500], [0.649, 0.851, 0.500], [0.851, 0.351, 0.500], [0.000, 0.000, 0.000], [0.500, 0.500, 0.000]], "crystal_system": "tetragonal", "de_polymorph_mev_per_atom": 173, "vol_a3_per_cell": 544.2, "sg": "P4/mbm, No. 127", "total_magnetization_mub_per_atom": 0.000, "e_form_ev_per_atom": 0.08}